A relaxed structure of CsTbSnI6. Source: Alexandria via LeMat-Bulk, functional GGA-PBE.

a b c (Å): 8.1409 8.1410 8.5235
angles (deg): 90.00 90.00 60.00
Last column: nearest neighbours and their distance in Å.
Fractional coordinates of all 9 atoms:
I 0.0133 0.3670 0.2896  1 Tb 3.06, 1 Sn 3.20
I 0.3670 0.6197 0.2895  1 Tb 3.06, 1 Sn 3.20
I 0.0133 0.6198 0.7104  1 Tb 3.06, 1 Sn 3.20
I 0.6197 0.3670 0.7104  1 Tb 3.06, 1 Sn 3.20
I 0.6197 0.0133 0.2896  1 Tb 3.06, 1 Sn 3.20
I 0.3669 0.0134 0.7104  1 Tb 3.06, 1 Sn 3.20
Sn 0.6666 0.6667 0.5000  6 I 3.20
Cs 0.0000 0.0000 0.0000  6 I 3.92
Tb 0.3333 0.3333 0.5000  6 I 3.06

V (A^3/atom): 54.36
ΔE_f (raw) (eV per formula unit): -10.4

***

A relaxed structure of Na3MgN. Source: Alexandria via LeMat-Bulk, functional GGA-PBE.

a b c (Å): 4.8662 4.8662 4.8662
angles (deg): 90.00 90.00 90.00
Last column: nearest neighbours and their distance in Å.
Fractional coordinates of all 5 atoms:
Na 0.0000 0.0000 0.5000  2 N 2.43
Na 0.5000 0.0000 0.0000  2 N 2.43
Na 0.0000 0.5000 0.0000  2 N 2.43
N 0.0000 0.0000 0.0000  6 Na 2.43
Mg 0.5000 0.5000 0.5000  12 Na 3.44

V (A^3/atom): 23.05
ΔE_f (raw) (eV per formula unit): 1.8

***

A relaxed structure of K4Np3ScSe8. Source: Alexandria via LeMat-Bulk, functional GGA-PBE.

a b c (Å): 8.4162 9.0684 8.4163
angles (deg): 117.65 120.00 90.00
Last column: nearest neighbours and their distance in Å.
Fractional coordinates of all 16 atoms:
K 0.5000 0.0000 0.0000  6 Se 3.40
K 0.5000 0.0000 0.5000  6 Se 3.30-3.31
K 0.0000 0.0000 0.0000  6 Se 3.30-3.31
K 0.0000 0.0000 0.5000  6 Se 3.30-3.31
Np 0.5000 0.5000 0.0000  6 Se 2.90-2.92
Np 0.0000 0.5000 0.5000  6 Se 2.90-2.92
Np 0.5000 0.5000 0.5000  6 Se 2.90-2.92
Se 0.2278 0.7018 0.9740  1 Sc 2.80, 2 Np 2.92
Se 0.2537 0.2982 0.0260  1 Sc 2.80, 2 Np 2.92
Se 0.7463 0.7018 0.9740  1 Sc 2.80, 2 Np 2.92
Se 0.7722 0.2982 0.5444  1 Sc 2.80, 2 Np 2.92
Se 0.7722 0.2982 0.0260  1 Sc 2.80, 2 Np 2.92
Se 0.7355 0.7064 0.4710  3 Np 2.90
Se 0.2645 0.2936 0.5290  3 Np 2.90
Se 0.2278 0.7018 0.4556  1 Sc 2.80, 2 Np 2.92
Sc 0.0000 0.5000 0.0000  6 Se 2.80

V (A^3/atom): 29.35
ΔE_f (raw) (eV per formula unit): -21.4

***

A relaxed structure of CsAcReN3. Source: Alexandria via LeMat-Bulk, functional GGA-PBE.

a b c (Å): 3.8840 7.4580 9.2740
angles (deg): 105.76 90.00 105.09
Last column: nearest neighbours and their distance in Å.
Fractional coordinates of all 12 atoms:
N 0.1256 0.2512 0.7689  1 Re 1.88
N 0.5128 0.0257 0.3391  2 Re 1.97
N 0.4872 0.9743 0.6609  2 Re 1.97
N 0.8473 0.6946 0.6165  1 Re 1.98
N 0.1527 0.3054 0.3835  1 Re 1.98
N 0.8744 0.7488 0.2311  1 Re 1.88
Cs 0.3600 0.7199 0.9409  6 N 3.28-3.57
Cs 0.6400 0.2801 0.0591  6 N 3.28-3.57
Ac 0.3438 0.6875 0.4178  7 N 2.59-2.73
Ac 0.6562 0.3125 0.5822  7 N 2.59-2.73
Re 0.0099 0.0198 0.3044  4 N 1.88-1.98
Re 0.9901 0.9802 0.6956  4 N 1.88-1.98

V (A^3/atom): 20.74
ΔE_f (raw) (eV per formula unit): -2.1

***

A relaxed structure of Fe2CoSb. Source: Alexandria via LeMat-Bulk, functional GGA-PBE.

a b c (Å): 3.6535 3.6535 8.9303
angles (deg): 78.20 78.20 90.00
Last column: nearest neighbours and their distance in Å.
Fractional coordinates of all 8 atoms:
Sb 0.0000 0.0000 0.0000  4 Co 2.58, 4 Fe 2.61
Sb 0.7500 0.2500 0.5000  4 Co 2.58, 4 Fe 2.61
Fe 0.2029 0.6250 0.2500  2 Fe 2.22, 2 Co 2.41
Fe 0.5471 0.1250 0.2500  2 Fe 2.22, 2 Co 2.41
Fe 0.8750 0.7971 0.7500  2 Fe 2.22, 2 Co 2.41
Fe 0.3750 0.4529 0.7500  2 Fe 2.22, 2 Co 2.41
Co 0.5000 0.5000 0.0000  4 Fe 2.41, 4 Sb 2.58
Co 0.2500 0.7500 0.5000  4 Fe 2.41, 4 Sb 2.58

V (A^3/atom): 14.26
ΔE_f (raw) (eV per formula unit): 2.5

***

A relaxed structure of ReSe4. Source: Alexandria via LeMat-Bulk, functional GGA-PBE.

a b c (Å): 4.8600 4.8600 4.8600
angles (deg): 90.00 90.00 90.00
Last column: nearest neighbours and their distance in Å.
Fractional coordinates of all 5 atoms:
Se 0.5000 0.5000 0.0000  2 Re 2.43
Se 0.0000 0.0000 0.0000  12 Se 3.44
Se 0.5000 0.0000 0.5000  2 Re 2.43
Se 0.0000 0.5000 0.5000  2 Re 2.43
Re 0.5000 0.5000 0.5000  6 Se 2.43

V (A^3/atom): 22.96
ΔE_f (raw) (eV per formula unit): 2.9

***

A relaxed structure of Er4In5Cu2. Source: Alexandria via LeMat-Bulk, functional GGA-PBE.

a b c (Å): 3.6193 7.6673 9.4507
angles (deg): 94.46 90.00 90.00
Last column: nearest neighbours and their distance in Å.
Fractional coordinates of all 11 atoms:
Cu 0.0000 0.9300 0.3712  1 Cu 2.58, 1 In 2.87, 6 Er 2.88-2.89
Cu 0.0000 0.0700 0.6288  1 Cu 2.58, 1 In 2.87, 6 Er 2.88-2.89
Er 0.5000 0.8115 0.1472  2 Cu 2.88, 2 In 3.22
Er 0.5000 0.7805 0.5653  4 Cu 2.88-2.89
Er 0.5000 0.1885 0.8528  2 Cu 2.88, 2 In 3.22
Er 0.5000 0.2195 0.4347  4 Cu 2.88-2.89
In 0.0000 0.5457 0.3295  1 Cu 2.94, 1 In 3.11, 2 Er 3.30
In 0.0000 0.5000 0.0000  4 In 3.05-3.11, 4 Er 3.22
In 0.0000 0.8409 0.8547  1 Cu 2.87, 1 In 3.05
In 0.0000 0.1591 0.1453  1 Cu 2.87, 1 In 3.05
In 0.0000 0.4543 0.6705  1 Cu 2.94, 1 In 3.11, 2 Er 3.30

V (A^3/atom): 23.77
ΔH_f (0 K) (eV per atom): -0.38

***

A relaxed structure of YTm6Sc2. Source: Alexandria via LeMat-Bulk, functional GGA-PBE.

a b c (Å): 3.4959 3.4959 25.1211
angles (deg): 90.00 90.00 120.00
Last column: nearest neighbours and their distance in Å.
Fractional coordinates of all 9 atoms:
Tm 0.3333 0.6667 0.8865  9 Tm 3.46-3.50, 3 Y 3.49
Tm 0.3333 0.6667 0.1135  9 Tm 3.46-3.50, 3 Y 3.49
Tm 0.0000 0.0000 0.4331  3 Sc 3.29, 7 Tm 3.36-3.50
Tm 0.0000 0.0000 0.5669  3 Sc 3.29, 7 Tm 3.36-3.50
Tm 0.0000 0.0000 0.2252  3 Sc 3.31, 9 Tm 3.46-3.50
Tm 0.0000 0.0000 0.7748  3 Sc 3.31, 9 Tm 3.46-3.50
Sc 0.3333 0.6667 0.3297  6 Tm 3.29-3.31, 6 Sc 3.50
Sc 0.3333 0.6667 0.6703  6 Tm 3.29-3.31, 6 Sc 3.50
Y 0.0000 0.0000 0.0000  6 Tm 3.49, 6 Y 3.50

V (A^3/atom): 29.54
ΔH_f (0 K) (eV per atom): 0.05

***

DFT total energy per entry: -29.19; -12.11; -98.84; -89.01; -51.39; -23.51; -44.37; -45.49 eV for the cell shown